Density functional theory data (PBE+U) for a geometry-optimized Li7Co5O12 structure.

Unit cell a=5.042 b=8.537 c=9.475 alpha=90.00 beta=99.36 gamma=90.00
Space group C2 (No. 5)
Symmetry-distinct sites (fractional):
Li 0.000 0.000 0.000 [2 per cell]
Li 0.000 0.183 0.500 [2 per cell]
Li 0.000 0.665 0.000 [2 per cell]
Li 0.243 0.508 0.238 [4 per cell]
Li 0.244 0.840 0.242 [4 per cell]
Co 0.000 0.339 0.000 [2 per cell]
Co 0.000 0.510 0.500 [2 per cell]
Co 0.000 0.852 0.500 [2 per cell]
Co 0.248 0.166 0.242 [4 per cell]
O 0.085 0.683 0.380 [4 per cell]
O 0.089 0.179 0.871 [4 per cell]
O 0.122 0.495 0.882 [4 per cell]
O 0.146 0.363 0.393 [4 per cell]
O 0.151 0.014 0.382 [4 per cell]
O 0.157 0.825 0.875 [4 per cell]

The total energy is -5.492 eV/atom.